No. 1
This record from the Alexandria database describes an optimized crystal structure of Nb2AlZn3. The functional is GGA-PBE.

Properties
The value obtained for the formation energy is -23.92 kJ per mole of atoms. As for the density of states at the Fermi level: 9.49 states/eV per cell.

a b c (Å): 5.0413 5.0413 12.5295
angles (deg): 90.00 90.00 120.00
Space group R-3m (No. 166, hexagonal axes)
Inequivalent atoms, fractional coordinates:
1 Nb 0.0000 0.0000 0.1279 (multiplicity 6)
2 Al 0.0000 0.0000 0.5000 (multiplicity 3)
3 Zn 0.0000 0.5000 0.0000 (multiplicity 9)


No. 2
This record from the Alexandria database describes an optimized crystal structure of MoIr2. The functional is GGA-PBE.

Properties
The value obtained for the formation energy is -14.96 kJ per mole of atoms. As for the density of states at the Fermi level: 1.27 states/eV per cell.

a b c (Å): 2.7549 2.7549 6.8055
angles (deg): 90.00 90.00 120.00
Space group P-3m1 (No. 164)
Inequivalent atoms, fractional coordinates:
1 Mo 0.0000 0.0000 0.0000 (multiplicity 1)
2 Ir 0.3333 0.6667 0.6745 (multiplicity 2)


No. 3
This record from the Alexandria database describes an optimized crystal structure of Al2AsSe. The functional is GGA-PBE.

Properties
The energy above the most stable polymorph in this dataset comes out at 0.432 eV per atom. As for the density of states at the Fermi level: 1.89 states/eV per cell. Its energy relative to the elements, uncorrected is 0.03 eV per atom.

a b c (Å): 3.654 4.882 9.395
angles (deg): 90.00 90.00 90.00
Space group Cmm2 (No. 35)
Inequivalent atoms, fractional coordinates:
1 Al 0.000 0.000 0.000 (multiplicity 2)
2 Al 0.000 0.500 0.222 (multiplicity 2)
3 As 0.000 0.500 0.801 (multiplicity 2)
4 Se 0.000 0.000 0.409 (multiplicity 2)


No. 4
This record from the Alexandria database describes an optimized crystal structure of ZrNiSeN2. The functional is GGA-PBE.

Properties
The energy above the most stable polymorph in this dataset comes out at 0.162 eV per atom. As for the density of states at the Fermi level: 5.53 states/eV per cell. Its energy relative to the elements, uncorrected is 0.72 eV per atom.

a b c (Å): 4.065 4.065 5.710
angles (deg): 90.00 90.00 90.00
Space group P4/mmm (No. 123)
Inequivalent atoms, fractional coordinates:
1 Zr 0.000 0.000 0.000 (multiplicity 1)
2 Ni 0.500 0.500 0.500 (multiplicity 1)
3 Se 0.000 0.000 0.500 (multiplicity 1)
4 N 0.000 0.500 0.000 (multiplicity 2)


No. 5
This record from the Alexandria database describes an optimized crystal structure of Pu2NiBi. The functional is GGA-PBE.

Properties
The energy above the most stable polymorph in this dataset comes out at 0.065 eV per atom. The value obtained for the formation energy is -9.06 kJ per mole of atoms. As for the density of states at the Fermi level: 10.71 states/eV per cell.

a b c (Å): 4.427 4.427 4.649
angles (deg): 90.00 90.00 90.00
Space group P4/mmm (No. 123)
Inequivalent atoms, fractional coordinates:
1 Pu 0.000 0.500 0.000 (multiplicity 2)
2 Ni 0.000 0.000 0.500 (multiplicity 1)
3 Bi 0.500 0.500 0.500 (multiplicity 1)


No. 6
This record from the Alexandria database describes an optimized crystal structure of Y2Er6Al. The functional is GGA-PBE.

Properties
The value obtained for the formation energy is 0.44 kJ per mole of atoms. As for the density of states at the Fermi level: 25.48 states/eV per cell.

a b c (Å): 9.787 10.177 5.332
angles (deg): 90.00 90.00 90.00
Space group Pnnm (No. 58)
Inequivalent atoms, fractional coordinates:
1 Y 0.196 0.235 0.000 (multiplicity 4)
2 Er 0.023 0.315 0.500 (multiplicity 4)
3 Er 0.133 0.891 0.000 (multiplicity 4)
4 Er 0.184 0.563 0.000 (multiplicity 4)
5 Al 0.000 0.000 0.500 (multiplicity 2)


No. 7
This record from the Alexandria database describes an optimized crystal structure of LiCrPAu2. The functional is GGA-PBE.

Properties
The value obtained for the formation energy is 27.20 kJ per mole of atoms. As for the density of states at the Fermi level: 2.74 states/eV per cell.

a b c (Å): 4.949 4.949 4.308
angles (deg): 90.00 90.00 90.00
Space group P4/mmm (No. 123)
Inequivalent atoms, fractional coordinates:
1 Li 0.000 0.000 0.000 (multiplicity 1)
2 Cr 0.500 0.500 0.500 (multiplicity 1)
3 P 0.500 0.500 0.000 (multiplicity 1)
4 Au 0.000 0.500 0.500 (multiplicity 2)


No. 8
This record from the Alexandria database describes an optimized crystal structure of NaSbMo3. The functional is GGA-PBE.

Properties
The energy above the most stable polymorph in this dataset comes out at 0.000 eV per atom. As for the density of states at the Fermi level: 6.39 states/eV per cell. Its energy relative to the elements, uncorrected is 1.97 eV per atom.

a b c (Å): 5.000 5.000 5.000
angles (deg): 90.00 90.00 90.00
Space group Pm-3m (No. 221)
Inequivalent atoms, fractional coordinates:
1 Na 0.000 0.000 0.000 (multiplicity 1)
2 Sb 0.500 0.500 0.500 (multiplicity 1)
3 Mo 0.000 0.500 0.500 (multiplicity 3)


No. 9
This record from the Alexandria database describes an optimized crystal structure of Sc3Co9GeB2. The functional is GGA-PBE.

Properties
The value obtained for the formation energy is -20.23 kJ per mole of atoms. As for the density of states at the Fermi level: 7.08 states/eV per cell.

a b c (Å): 5.6089 5.6089 7.0138
angles (deg): 90.00 90.00 120.00
Space group P-3m1 (No. 164)
Inequivalent atoms, fractional coordinates:
1 Sc 0.0000 0.0000 0.0000 (multiplicity 1)
2 Sc 0.3333 0.6667 0.6637 (multiplicity 2)
3 Co 0.0000 0.5000 0.0000 (multiplicity 3)
4 Co 0.1793 0.3587 0.3072 (multiplicity 6)
5 Ge 0.0000 0.0000 0.5000 (multiplicity 1)
6 B 0.3333 0.6667 0.1410 (multiplicity 2)


No. 10
This record from the Alexandria database describes an optimized crystal structure of Dy3Er4Tm4. The functional is GGA-PBE.

Properties
The energy above the most stable polymorph in this dataset comes out at 0.118 eV per atom. The value obtained for the formation energy is 17.67 kJ per mole of atoms. As for the density of states at the Fermi level: 29.80 states/eV per cell.

a b c (Å): 18.326 11.032 3.492
angles (deg): 90.00 100.78 90.00
Space group C2/m (No. 12)
Inequivalent atoms, fractional coordinates:
1 Dy 0.000 0.000 0.000 (multiplicity 2)
2 Dy 0.109 0.500 0.109 (multiplicity 4)
3 Er 0.000 0.294 0.500 (multiplicity 4)
4 Er 0.220 0.000 0.222 (multiplicity 4)
5 Tm 0.171 0.242 0.673 (multiplicity 8)


No. 11
This record from the Alexandria database describes an optimized crystal structure of CsRb3Hg4Br12. The functional is GGA-PBE.

Properties
As for the density of states at the Fermi level: 0.00 states/eV per cell. Its energy relative to the elements, uncorrected is -0.96 eV per atom.

a b c (Å): 16.4187 16.4187 13.5490
angles (deg): 90.00 90.00 120.00
Space group R32 (No. 155, hexagonal axes)
Inequivalent atoms, fractional coordinates:
1 Cs 0.0000 0.0000 0.0000 (multiplicity 3)
2 Rb 0.0000 0.5329 0.0000 (multiplicity 9)
3 Hg 0.0000 0.0000 0.5000 (multiplicity 3)
4 Hg 0.0000 0.4594 0.5000 (multiplicity 9)
5 Br 0.0000 0.6170 0.5000 (multiplicity 9)
6 Br 0.0000 0.8433 0.5000 (multiplicity 9)
7 Br 0.0274 0.2005 0.1602 (multiplicity 18)


No. 12
This record from the Alexandria database describes an optimized crystal structure of La12TmIn3. The functional is GGA-PBE.

Properties
The value obtained for the formation energy is -20.90 kJ per mole of atoms. As for the density of states at the Fermi level: 23.25 states/eV per cell.

a b c (Å): 5.082 5.082 20.532
angles (deg): 90.00 90.00 90.00
Space group P4/mmm (No. 123)
Inequivalent atoms, fractional coordinates:
1 La 0.000 0.000 0.000 (multiplicity 1)
2 La 0.000 0.000 0.247 (multiplicity 2)
3 La 0.000 0.000 0.500 (multiplicity 1)
4 La 0.000 0.500 0.123 (multiplicity 4)
5 La 0.000 0.500 0.371 (multiplicity 4)
6 Tm 0.500 0.500 0.500 (multiplicity 1)
7 In 0.500 0.500 0.000 (multiplicity 1)
8 In 0.500 0.500 0.246 (multiplicity 2)


No. 13
This record from the Alexandria database describes an optimized crystal structure of KTlBr4. The functional is GGA-PBE.

Properties
As for the density of states at the Fermi level: 7.55 states/eV per cell. Its energy relative to the elements, uncorrected is -0.44 eV per atom.

a b c (Å): 9.446 9.446 9.446
angles (deg): 90.00 90.00 90.00
Space group F-43m (No. 216)
Inequivalent atoms, fractional coordinates:
1 K 0.000 0.000 0.000 (multiplicity 4)
2 Tl 0.250 0.250 0.750 (multiplicity 4)
3 Br 0.125 0.125 0.375 (multiplicity 16)


No. 14
This record from the Alexandria database describes an optimized crystal structure of Sm2YHfN4. The functional is GGA-PBE.

Properties
As for the density of states at the Fermi level: 1.15 states/eV per cell. Its energy relative to the elements, uncorrected is -1.63 eV per atom.

a b c (Å): 5.964 3.433 6.003
angles (deg): 90.00 109.09 90.00
Space group P2/m (No. 10)
Inequivalent atoms, fractional coordinates:
1 Sm 0.000 0.000 0.000 (multiplicity 1)
2 Sm 0.500 0.500 0.000 (multiplicity 1)
3 Y 0.000 0.500 0.500 (multiplicity 1)
4 Hf 0.500 0.000 0.500 (multiplicity 1)
5 N 0.259 0.000 0.731 (multiplicity 2)
6 N 0.271 0.500 0.276 (multiplicity 2)


No. 15
This record from the Alexandria database describes an optimized crystal structure of Pr5DyY3. The functional is GGA-PBE.

Properties
The energy above the most stable polymorph in this dataset comes out at 0.287 eV per atom. The value obtained for the formation energy is 53.22 kJ per mole of atoms. As for the density of states at the Fermi level: 54.92 states/eV per cell.

a b c (Å): 11.993 11.568 11.565
angles (deg): 90.00 117.85 90.00
Space group C2/m (No. 12)
Inequivalent atoms, fractional coordinates:
1 Pr 0.000 0.236 0.000 (multiplicity 4)
2 Pr 0.007 0.000 0.373 (multiplicity 4)
3 Pr 0.188 0.000 0.921 (multiplicity 4)
4 Pr 0.195 0.259 0.646 (multiplicity 8)
5 Dy 0.088 0.500 0.794 (multiplicity 4)
6 Y 0.000 0.500 0.000 (multiplicity 2)
7 Y 0.000 0.500 0.500 (multiplicity 2)
8 Y 0.150 0.000 0.207 (multiplicity 4)
9 Y 0.208 0.500 0.365 (multiplicity 4)


No. 16
This record from the Alexandria database describes an optimized crystal structure of YCrTc. The functional is GGA-PBE.

Properties
The energy above the most stable polymorph in this dataset comes out at 0.000 eV per atom. The value obtained for the formation energy is 4.23 kJ per mole of atoms. As for the density of states at the Fermi level: 44.98 states/eV per cell.

a b c (Å): 5.3267 5.3267 39.5076
angles (deg): 90.00 90.00 120.00
Space group R-3m (No. 166, hexagonal axes)
Inequivalent atoms, fractional coordinates:
1 Y 0.0000 0.0000 0.0407 (multiplicity 6)
2 Y 0.0000 0.0000 0.1812 (multiplicity 6)
3 Y 0.0000 0.0000 0.2644 (multiplicity 6)
4 Cr 0.0000 0.0000 0.3836 (multiplicity 6)
5 Cr 0.0000 0.0000 0.5000 (multiplicity 3)
6 Cr 0.0000 0.5000 0.0000 (multiplicity 9)
7 Tc 0.0023 0.5011 0.7764 (multiplicity 18)


No. 17
This record from the Alexandria database describes an optimized crystal structure of NdSi4Ni6. The functional is GGA-PBE.

Properties
As for the density of states at the Fermi level: 5.06 states/eV per cell. Its energy relative to the elements, uncorrected is -0.66 eV per atom.

a b c (Å): 6.6503 6.6503 3.7535
angles (deg): 90.00 90.00 120.00
Space group P-6m2 (No. 187)
Inequivalent atoms, fractional coordinates:
1 Nd 0.0000 0.0000 0.0000 (multiplicity 1)
2 Si 0.3333 0.6667 0.0000 (multiplicity 1)
3 Si 0.3985 0.1992 0.5000 (multiplicity 3)
4 Ni 0.2057 0.4115 0.5000 (multiplicity 3)
5 Ni 0.5353 0.0706 0.0000 (multiplicity 3)


No. 18
This record from the Alexandria database describes an optimized crystal structure of Rb3ZnPd. The functional is GGA-PBE.

Properties
The energy above the most stable polymorph in this dataset comes out at 0.000 eV per atom. The value obtained for the formation energy is 23.04 kJ per mole of atoms. As for the density of states at the Fermi level: 5.26 states/eV per cell.

a b c (Å): 6.523 6.523 6.523
angles (deg): 90.00 90.00 90.00
Space group Pm-3m (No. 221)
Inequivalent atoms, fractional coordinates:
1 Rb 0.000 0.000 0.500 (multiplicity 3)
2 Zn 0.500 0.500 0.500 (multiplicity 1)
3 Pd 0.000 0.000 0.000 (multiplicity 1)


No. 19
This record from the Alexandria database describes an optimized crystal structure of ScZnIn. The functional is GGA-PBE.

Properties
The value obtained for the formation energy is -29.05 kJ per mole of atoms. As for the density of states at the Fermi level: 8.49 states/eV per cell.

a b c (Å): 4.218 4.342 13.291
angles (deg): 90.00 90.00 90.00
Space group Amm2 (No. 38)
Inequivalent atoms, fractional coordinates:
1 Sc 0.000 0.000 0.000 (multiplicity 2)
2 Sc 0.000 0.000 0.315 (multiplicity 2)
3 Zn 0.500 0.000 0.154 (multiplicity 2)
4 Zn 0.500 0.000 0.487 (multiplicity 2)
5 In 0.000 0.000 0.651 (multiplicity 2)
6 In 0.500 0.000 0.832 (multiplicity 2)


No. 20
This record from the Alexandria database describes an optimized crystal structure of NdIn9Rh2. The functional is GGA-PBE.

Properties
The value obtained for the formation energy is -15.46 kJ per mole of atoms. As for the density of states at the Fermi level: 24.33 states/eV per cell.

a b c (Å): 12.338 12.338 7.316
angles (deg): 90.00 90.00 90.00
Space group I4_1/amd (No. 141, origin choice 2)
Inequivalent atoms, fractional coordinates:
1 Nd 0.000 0.250 0.375 (multiplicity 4)
2 In 0.000 0.250 0.875 (multiplicity 4)
3 In 0.120 0.065 0.673 (multiplicity 32)
4 Rh 0.000 0.000 0.000 (multiplicity 8)


No. 21
This record from the Alexandria database describes an optimized crystal structure of Ba2CaMg2. The functional is GGA-PBE.

Properties
The energy above the most stable polymorph in this dataset comes out at 0.102 eV per atom. The value obtained for the formation energy is 8.94 kJ per mole of atoms. As for the density of states at the Fermi level: 12.57 states/eV per cell.

a b c (Å): 10.299 10.299 3.920
angles (deg): 90.00 90.00 90.00
Space group P4/mbm (No. 127)
Inequivalent atoms, fractional coordinates:
1 Ba 0.135 0.365 0.000 (multiplicity 4)
2 Ca 0.000 0.000 0.000 (multiplicity 2)
3 Mg 0.161 0.661 0.500 (multiplicity 4)


No. 22
This record from the Alexandria database describes an optimized crystal structure of Na2TiMn2Se6. The functional is GGA-PBE.

Properties
As for the density of states at the Fermi level: 6.16 states/eV per cell. Its energy relative to the elements, uncorrected is -0.82 eV per atom.

a b c (Å): 6.628 10.914 7.514
angles (deg): 90.00 108.69 90.00
Space group C2/m (No. 12)
Inequivalent atoms, fractional coordinates:
1 Na 0.000 0.168 0.000 (multiplicity 4)
2 Ti 0.000 0.000 0.500 (multiplicity 2)
3 Mn 0.000 0.330 0.500 (multiplicity 4)
4 Se 0.224 0.167 0.707 (multiplicity 8)
5 Se 0.228 0.500 0.694 (multiplicity 4)